## SrZrN3 (PBE)

Data for a geometry-optimized SrZrN3 structure. Values from VASP.

Structure (Quantum ESPRESSO input):
```
&SYSTEM
  ibrav = 0, nat = 5, ntyp = 3
/
ATOMIC_SPECIES
N 14.01 N.upf
Sr 87.62 Sr.upf
Zr 91.22 Zr.upf
CELL_PARAMETERS angstrom
-3.300 1.703 1.946
1.560 -1.204 3.700
2.062 3.637 0.314
ATOMIC_POSITIONS angstrom
N 1.031 1.818 0.157
Sr 0.000 0.000 0.000
N -1.650 0.851 0.973
Zr 0.161 2.068 2.980
N 0.780 -0.602 1.850
```

For the total magnetization, the calculation gives 0.00 μB per atom. As for the density of states at the Fermi level: 0.47 states/eV/atom. The calculation puts the volume at 14.73 A^3/atom. Its energy relative to the elements, uncorrected is 1611 meV per atom.